Density functional theory data (GGA-PBE) for MgTl2CuO5 after structural relaxation.

The structure in POSCAR format:
```
MgTl2CuO5
1.0
3.349 0.000 0.000
-1.675 6.151 0.000
0.000 0.000 11.519
Mg Tl Cu O
2 4 2 10
direct
0.762 0.524 0.513
0.238 0.476 0.013
0.834 0.668 0.777
0.070 0.139 0.657
0.166 0.332 0.277
0.930 0.861 0.157
0.547 0.094 0.950
0.453 0.906 0.450
0.401 0.802 0.023
0.711 0.422 0.913
0.482 0.963 0.784
0.250 0.501 0.666
0.922 0.844 0.540
0.599 0.198 0.523
0.289 0.578 0.413
0.518 0.037 0.284
0.750 0.499 0.166
0.078 0.156 0.040
```

Properties
- Fermi-level density of states: 2.06 states/eV/cell
- Energy: -4.8612 eV/atom
- Crystal system: orthorhombic

Density functional theory data (GGA-PBE) for CsMn2PtCl after structural relaxation.

The structure in POSCAR format:
```
CsMn2PtCl
1.0
4.656 0.000 0.000
0.000 6.037 0.000
0.000 0.000 4.656
Cs Mn Pt Cl
1 2 1 1
direct
0.000 0.500 0.000
0.000 0.000 0.500
0.500 0.000 0.000
0.500 0.500 0.500
0.000 0.000 0.000
```

Properties
- Fermi-level density of states: 1.56 states/eV/cell
- Energy: -4.6419 eV/atom
- Crystal system: tetragonal

Density functional theory data (GGA-PBE) for YCu2AuC after structural relaxation.

The structure in POSCAR format:
```
YCu2AuC
1.0
4.807 0.000 0.000
0.000 4.807 0.000
0.000 0.000 3.978
Y C Au Cu
1 1 1 2
direct
0.500 0.500 0.500
0.000 0.000 0.500
0.000 0.000 0.000
0.000 0.500 0.000
0.500 0.000 0.000
```

Properties
- Fermi-level density of states: 2.50 states/eV/cell
- Energy: -4.6051 eV/atom
- ΔH_f (0 K): 0.83 eV/atom
- Energy relative to the lowest polymorph listed for this composition: 0 meV/atom
- Crystal system: tetragonal

Density functional theory data (GGA-PBE) for EuTmZnNi after structural relaxation.

The structure in POSCAR format:
```
EuTmZnNi
1.0
4.960 0.000 0.000
2.480 4.296 0.000
2.480 1.432 4.050
Eu Ni Zn Tm
1 1 1 1
direct
0.500 0.500 0.500
0.250 0.250 0.250
0.750 0.750 0.750
0.000 0.000 0.000
```

Properties
- Fermi-level density of states: 6.36 states/eV/cell
- Energy: -5.6615 eV/atom
- ΔH_f (0 K): -0.21 eV/atom
- Crystal system: cubic

Density functional theory data (GGA-PBE) for Ni2WS after structural relaxation.

The structure in POSCAR format:
```
Ni2WS
1.0
-2.025 -2.319 -0.662
2.038 -2.083 1.058
-4.155 0.859 9.696
Ni S W
4 2 2
direct
0.000 0.000 0.849
0.000 0.500 0.349
0.500 0.000 0.215
0.500 0.500 0.715
0.000 0.000 0.645
0.000 0.500 0.145
0.500 0.000 0.480
0.500 0.500 0.980
```

Properties
- Fermi-level density of states: 7.49 states/eV/cell
- Energy: -7.1750 eV/atom
- Crystal system: orthorhombic

Density functional theory data (GGA-PBE) for Rb2TlTeMo after structural relaxation.

The structure in POSCAR format:
```
Rb2TlTeMo
1.0
6.645 0.000 0.000
0.000 5.416 0.000
0.000 0.000 6.645
Tl Te Mo Rb
1 1 1 2
direct
0.000 0.000 0.000
0.500 0.500 0.500
0.000 0.500 0.000
0.000 0.000 0.500
0.500 0.000 0.000
```

Properties
- Fermi-level density of states: 5.20 states/eV/cell
- Energy: -2.8914 eV/atom
- Crystal system: tetragonal

| no. | density (g/cm3) |
| --- | --- |
| 1 | 8.07 |
| 2 | 6.01 |
| 3 | 7.68 |
| 4 | 8.56 |
| 5 | 10.71 |
| 6 | 4.16 |